No. 1
NaBeCoGe: relaxed, PBE.

Magnetic moment   0.54 μB/cell
Formation enthalpy at 0 K   0.00 eV per atom
Space group   No. 99
Calculated volume   58.1 Å³/f.u.
Crystal system   tetragonal
Total energy   -16.76 eV per formula unit
D(E_F)   0.323 states/eV/atom

Cell lengths 2.8755, 2.8755, 7.0285 Å; angles 90.00, 90.00, 90.00 degrees
Closest atoms and distances in Å follow each position.
Sites, in units of the cell vectors:
1 Na 0.0000 0.0000 0.0000  4 Na 2.88, 4 Be 3.04, 4 Ge 3.11, 1 Co 3.15
2 Be 0.5000 0.5000 0.6791  4 Co 2.22, 1 Ge 2.42
3 Co 0.0000 0.0000 0.5519  4 Be 2.22
4 Ge 0.5000 0.5000 0.3348  1 Be 2.42, 4 Co 2.54


No. 2
Dy3Cd2Pd3: relaxed, PBE.

Magnetic moment   0.00 μB/cell
Formation enthalpy at 0 K   -0.69 eV per atom
Space group   No. 193
Calculated volume   178.1 Å³/f.u.
Crystal system   hexagonal
Total energy   -36.72 eV per formula unit
D(E_F)   0.651 states/eV/atom

Cell lengths 8.4401, 8.4401, 5.7724 Å; angles 90.00, 90.00, 120.00 degrees
Closest atoms and distances in Å follow each position.
Sites, in units of the cell vectors:
1 Dy 0.0000 0.2708 0.2500  5 Pd 2.89-3.05
2 Dy 0.0000 0.7292 0.7500  5 Pd 2.89-3.05
3 Dy 0.2708 0.0000 0.2500  5 Pd 2.89-3.05
4 Dy 0.2708 0.2708 0.7500  5 Pd 2.89-3.05
5 Dy 0.7292 0.0000 0.7500  5 Pd 2.89-3.05
6 Dy 0.7292 0.7292 0.2500  5 Pd 2.89-3.05
7 Cd 0.3333 0.6667 0.0000  2 Cd 2.89, 6 Pd 2.99
8 Cd 0.3333 0.6667 0.5000  2 Cd 2.89, 6 Pd 2.99
9 Cd 0.6667 0.3333 0.0000  2 Cd 2.89, 6 Pd 2.99
10 Cd 0.6667 0.3333 0.5000  2 Cd 2.89, 6 Pd 2.99
11 Pd 0.0000 0.3862 0.7500  5 Dy 2.89-3.05, 4 Cd 2.99
12 Pd 0.0000 0.6138 0.2500  5 Dy 2.89-3.05, 4 Cd 2.99
13 Pd 0.3862 0.0000 0.7500  5 Dy 2.89-3.05, 4 Cd 2.99
14 Pd 0.3862 0.3862 0.2500  5 Dy 2.89-3.05, 4 Cd 2.99
15 Pd 0.6138 0.0000 0.2500  5 Dy 2.89-3.05, 4 Cd 2.99
16 Pd 0.6138 0.6138 0.7500  5 Dy 2.89-3.05, 4 Cd 2.99


No. 3
BaSrLa3: relaxed, PBE.

Magnetic moment   0.00 μB/cell
Formation enthalpy at 0 K   0.58 eV per atom
Space group   No. 221
Calculated volume   228.9 Å³/f.u.
Crystal system   cubic
Total energy   -15.49 eV per formula unit
D(E_F)   2.190 states/eV/atom

Cell lengths 6.1171, 6.1171, 6.1171 Å; angles 90.00, 90.00, 90.00 degrees
Closest atoms and distances in Å follow each position.
Sites, in units of the cell vectors:
1 Ba 0.0000 0.0000 0.0000  6 La 3.06
2 Sr 0.5000 0.5000 0.5000  12 La 4.33
3 La 0.0000 0.0000 0.5000  2 Ba 3.06
4 La 0.0000 0.5000 0.0000  2 Ba 3.06
5 La 0.5000 0.0000 0.0000  2 Ba 3.06


No. 4
Li2PtSe: relaxed, PBE.

Magnetic moment   0.00 μB/cell
Space group   No. 25
Calculated volume   61.9 Å³/f.u.
Formation energy without anion corrections   -1.76 eV per formula unit
Crystal system   orthorhombic
Total energy   -15.12 eV per formula unit
D(E_F)   0.371 states/eV/atom

Cell lengths 2.8407, 4.1210, 5.2883 Å; angles 90.00, 90.00, 90.00 degrees
Closest atoms and distances in Å follow each position.
Sites, in units of the cell vectors:
1 Li 0.0000 0.0000 0.0000  2 Pt 2.59-2.70, 4 Se 2.72, 2 Li 2.84
2 Li 0.5000 0.5000 0.3049  2 Se 2.60-2.68, 4 Pt 2.69, 2 Li 2.84
3 Pt 0.0000 0.0000 0.4890  6 Li 2.59-2.70, 2 Pt 2.84
4 Se 0.5000 0.5000 0.7973  6 Li 2.60-2.72, 2 Se 2.84


No. 5
PaSi4Ni4: relaxed, PBE.

Magnetic moment   1.52 μB/cell
Space group   No. 137
Calculated volume   124.2 Å³/f.u.
Formation energy without anion corrections   -4.67 eV per formula unit
Crystal system   tetragonal
Total energy   -58.98 eV per formula unit
D(E_F)   0.789 states/eV/atom

Cell lengths 5.6362, 5.6362, 7.8207 Å; angles 90.00, 90.00, 90.00 degrees
Closest atoms and distances in Å follow each position.
Sites, in units of the cell vectors:
1 Pa 0.2500 0.7500 0.2500  4 Si 2.95, 8 Ni 3.20
2 Pa 0.7500 0.2500 0.7500  4 Si 2.95, 8 Ni 3.20
3 Si 0.0371 0.2500 0.0647  5 Ni 2.30-2.38, 1 Si 2.40
4 Si 0.2500 0.0371 0.5647  5 Ni 2.30-2.38, 1 Si 2.40
5 Si 0.2500 0.4629 0.5647  5 Ni 2.30-2.38, 1 Si 2.40
6 Si 0.4629 0.2500 0.0647  5 Ni 2.30-2.38, 1 Si 2.40
7 Si 0.5371 0.7500 0.9353  5 Ni 2.30-2.38, 1 Si 2.40
8 Si 0.7500 0.5371 0.4353  5 Ni 2.30-2.38, 1 Si 2.40
9 Si 0.7500 0.9629 0.4353  5 Ni 2.30-2.38, 1 Si 2.40
10 Si 0.9629 0.7500 0.9353  5 Ni 2.30-2.38, 1 Si 2.40
11 Ni 0.0253 0.2500 0.3582  5 Si 2.30-2.38, 1 Ni 2.53
12 Ni 0.2500 0.0253 0.8582  5 Si 2.30-2.38, 1 Ni 2.53
13 Ni 0.2500 0.4747 0.8582  5 Si 2.30-2.38, 1 Ni 2.53
14 Ni 0.4747 0.2500 0.3582  5 Si 2.30-2.38, 1 Ni 2.53
15 Ni 0.5253 0.7500 0.6418  5 Si 2.30-2.38, 1 Ni 2.53
16 Ni 0.7500 0.5253 0.1418  5 Si 2.30-2.38, 1 Ni 2.53
17 Ni 0.7500 0.9747 0.1418  5 Si 2.30-2.38, 1 Ni 2.53
18 Ni 0.9747 0.7500 0.6418  5 Si 2.30-2.38, 1 Ni 2.53


No. 6
Ac7La3Sm2: relaxed, PBE.

Magnetic moment   0.00 μB/cell
Formation enthalpy at 0 K   0.09 eV per atom
Space group   No. 10
Calculated volume   497.1 Å³/f.u.
Crystal system   monoclinic
Total energy   -51.87 eV per formula unit
D(E_F)   1.673 states/eV/atom

Cell lengths 7.0097, 3.8061, 18.7433 Å; angles 90.00, 96.19, 90.00 degrees
Closest atoms and distances in Å follow each position.
Sites, in units of the cell vectors:
1 Ac 0.0000 0.0000 0.0000  8 Ac 3.81-3.97, 4 La 3.99
2 Ac 0.2281 0.5000 0.1745  1 Sm 3.72, 8 Ac 3.81-3.99, 3 La 3.87-3.96
3 Ac 0.2529 0.5000 0.4955  4 Ac 3.45-3.81, 2 Sm 3.56-3.66
4 Ac 0.2736 0.0000 0.8295  2 Sm 3.75, 7 Ac 3.81-3.99, 3 La 3.88-3.91
5 Ac 0.7264 0.0000 0.1705  2 Sm 3.75, 7 Ac 3.81-3.99, 3 La 3.88-3.91
6 Ac 0.7471 0.5000 0.5045  4 Ac 3.45-3.81, 2 Sm 3.56-3.66
7 Ac 0.7719 0.5000 0.8255  1 Sm 3.72, 8 Ac 3.81-3.99, 3 La 3.87-3.96
8 La 0.4592 0.0000 0.3415  2 La 3.81, 7 Ac 3.87-3.96, 4 Sm 3.92-4.06
9 La 0.5000 0.5000 0.0000  2 La 3.81, 10 Ac 3.91-3.99
10 La 0.5408 0.0000 0.6585  2 La 3.81, 7 Ac 3.87-3.96, 4 Sm 3.92-4.06
11 Sm 0.0554 0.5000 0.6686  5 Ac 3.56-3.75, 2 Sm 3.81, 2 La 3.92
12 Sm 0.9446 0.5000 0.3314  5 Ac 3.56-3.75, 2 Sm 3.81, 2 La 3.92


No. 7
Li2TbTlCl6: relaxed, PBE.

Magnetic moment   0.00 μB/cell
Space group   No. 1
Calculated volume   265.0 Å³/f.u.
Formation energy without anion corrections   -18.24 eV per formula unit
Crystal system   triclinic
Total energy   -40.14 eV per formula unit
D(E_F)   0.000 states/eV/atom

Cell lengths 6.9480, 6.9491, 7.4982 Å; angles 90.04, 117.56, 119.98 degrees
Closest atoms and distances in Å follow each position.
Sites, in units of the cell vectors:
1 Li 0.0000 0.0000 0.0000  3 Cl 2.52-2.53
2 Li 0.0213 0.5103 0.5323  3 Cl 2.45
3 Tb 0.4127 0.2059 0.6188  6 Cl 2.67
4 Tl 0.4567 0.7277 0.1849  6 Cl 3.12-3.32
5 Cl 0.1403 0.3492 0.3410  1 Li 2.45, 1 Tb 2.67
6 Cl 0.1986 0.2611 0.8161  1 Li 2.52, 1 Tb 2.67
7 Cl 0.5506 0.2003 0.3407  1 Li 2.45, 1 Tb 2.67
8 Cl 0.5548 0.9369 0.8160  1 Li 2.52, 1 Tb 2.67
9 Cl 0.8791 0.6171 0.8159  1 Li 2.53, 1 Tb 2.67
10 Cl 0.9915 0.7900 0.3410  1 Li 2.45, 1 Tb 2.67


No. 8
MgSnAu2: relaxed, PBE.

Magnetic moment   0.00 μB/cell
Formation enthalpy at 0 K   -0.34 eV per atom
Space group   No. 123
Calculated volume   80.4 Å³/f.u.
Crystal system   tetragonal
Total energy   -13.51 eV per formula unit
D(E_F)   0.420 states/eV/atom

Cell lengths 3.4321, 3.4321, 6.8298 Å; angles 90.00, 90.00, 90.00 degrees
Closest atoms and distances in Å follow each position.
Sites, in units of the cell vectors:
1 Mg 0.0000 0.0000 0.0000  8 Au 2.85
2 Sn 0.0000 0.0000 0.5000  8 Au 3.09, 2 Mg 3.41, 4 Sn 3.43
3 Au 0.5000 0.5000 0.2195  4 Mg 2.85, 1 Au 3.00, 4 Sn 3.09
4 Au 0.5000 0.5000 0.7805  4 Mg 2.85, 1 Au 3.00, 4 Sn 3.09


No. 9
Ac2LaTm2: relaxed, PBE.

Magnetic moment   0.00 μB/cell
Formation enthalpy at 0 K   0.07 eV per atom
Space group   No. 2
Calculated volume   188.0 Å³/f.u.
Crystal system   triclinic
Total energy   -21.73 eV per formula unit
D(E_F)   1.799 states/eV/atom

Cell lengths 6.5891, 7.0967, 9.6627 Å; angles 107.78, 90.49, 117.40 degrees
Closest atoms and distances in Å follow each position.
Sites, in units of the cell vectors:
1 Ac 0.1588 0.4948 0.2394  6 Tm 3.67-3.94, 3 La 3.75-3.78, 3 Ac 3.80-3.88
2 Ac 0.2300 0.2973 0.5516  5 Ac 3.69-3.88, 6 Tm 3.69-3.85, 1 La 3.81
3 Ac 0.7700 0.7027 0.4484  5 Ac 3.69-3.88, 6 Tm 3.69-3.85, 1 La 3.81
4 Ac 0.8412 0.5052 0.7606  6 Tm 3.67-3.94, 3 La 3.75-3.78, 3 Ac 3.80-3.88
5 La 0.4484 0.7134 0.9475  2 La 3.60-3.80, 6 Tm 3.62-3.90, 4 Ac 3.75-3.81
6 La 0.5516 0.2866 0.0525  2 La 3.60-3.80, 6 Tm 3.62-3.90, 4 Ac 3.75-3.81
7 Tm 0.0290 0.9053 0.1494  4 La 3.62-3.90, 3 Tm 3.62-3.79, 5 Ac 3.67-3.81
8 Tm 0.3783 0.9091 0.6535  2 La 3.63-3.76, 3 Tm 3.68-3.79, 7 Ac 3.69-3.94
9 Tm 0.6217 0.0909 0.3465  2 La 3.63-3.76, 3 Tm 3.68-3.79, 7 Ac 3.69-3.94
10 Tm 0.9710 0.0947 0.8506  4 La 3.62-3.90, 3 Tm 3.62-3.79, 5 Ac 3.67-3.81


No. 10
V2ZnOs2: relaxed, PBE.

Magnetic moment   0.00 μB/cell
Formation enthalpy at 0 K   0.02 eV per atom
Space group   No. 127
Calculated volume   74.7 Å³/f.u.
Crystal system   tetragonal
Total energy   -41.88 eV per formula unit
D(E_F)   0.686 states/eV/atom

Cell lengths 7.2345, 7.2345, 2.8555 Å; angles 90.00, 90.00, 90.00 degrees
Closest atoms and distances in Å follow each position.
Sites, in units of the cell vectors:
1 V 0.1547 0.3453 0.0000  6 Os 2.52-2.58
2 V 0.3453 0.8453 0.0000  6 Os 2.52-2.58
3 V 0.6547 0.1547 0.0000  6 Os 2.52-2.58
4 V 0.8453 0.6547 0.0000  6 Os 2.52-2.58
5 Zn 0.0000 0.0000 0.5000  4 Os 2.79, 2 Zn 2.86, 8 V 3.09
6 Zn 0.5000 0.5000 0.5000  4 Os 2.79, 2 Zn 2.86, 8 V 3.09
7 Os 0.1419 0.6419 0.5000  6 V 2.52-2.58, 2 Zn 2.79
8 Os 0.3581 0.1419 0.5000  6 V 2.52-2.58, 2 Zn 2.79
9 Os 0.6419 0.8581 0.5000  6 V 2.52-2.58, 2 Zn 2.79
10 Os 0.8581 0.3581 0.5000  6 V 2.52-2.58, 2 Zn 2.79


No. 11
ThAlRhC: relaxed, PBE.

Magnetic moment   0.00 μB/cell
Formation enthalpy at 0 K   -0.53 eV per atom
Space group   No. 129
Calculated volume   70.1 Å³/f.u.
Crystal system   tetragonal
Total energy   -29.85 eV per formula unit
D(E_F)   0.399 states/eV/atom

Cell lengths 3.9684, 3.9684, 8.9039 Å; angles 90.00, 90.00, 90.00 degrees
Closest atoms and distances in Å follow each position.
Sites, in units of the cell vectors:
1 Th 0.2500 0.2500 0.1487  1 C 2.40
2 Th 0.7500 0.7500 0.8513  1 C 2.40
3 Al 0.2500 0.2500 0.6577  1 C 1.98
4 Al 0.7500 0.7500 0.3423  1 C 1.98
5 Rh 0.2500 0.7500 0.5000  4 Al 2.43
6 Rh 0.7500 0.2500 0.5000  4 Al 2.43
7 C 0.2500 0.2500 0.8796  1 Al 1.98
8 C 0.7500 0.7500 0.1204  1 Al 1.98